MgBeGe2Te | PBE | optimized geometry

abc: 4.983 5.441 4.983
angles: 90.00 90.00 90.00
Fractional coordinates of all 5 atoms:
Mg 0.000 0.000 0.000
Te 0.000 0.500 0.000
Ge 0.000 0.000 0.500
Be 0.500 0.500 0.500
Ge 0.500 0.000 0.000

Results
Fermi-level density of states   0.400 states/eV/atom
Uncorrected formation energy   1036 meV per atom
Total DFT energy (no corrections)   -2.504 eV/atom
Total magnetic moment   0.000 μB/f.u.